Sc2NiAu | PBE-GGA | optimized geometry

Unit cell a=4.026 b=4.026 c=8.669 alpha=90.00 beta=90.00 gamma=90.00
Space group I-4m2 (No. 119)
Symmetry-distinct sites (fractional):
1 Sc 0.000 0.000 0.000
2 Sc 0.000 0.500 0.250
3 Ni 0.000 0.000 0.500
4 Au 0.000 0.500 0.750

Properties
- total DFT energy (no corrections) (eV/f.u.) = -23.58
- calculated density (g/cm³) = 8.2
- energy of formation (eV per atom) = -0.465

Sc2Ni2Au | PBE-GGA | optimized geometry

Unit cell a=3.466 b=3.466 c=14.491 alpha=90.00 beta=90.00 gamma=90.00
Space group I4/mmm (No. 139)
Symmetry-distinct sites (fractional):
1 Sc 0.000 0.000 0.115
2 Ni 0.000 0.500 0.250
3 Au 0.000 0.000 0.500

Properties
- total DFT energy (no corrections) (eV/f.u.) = -29.64
- calculated density (g/cm³) = 7.7
- energy of formation (eV per atom) = -0.427

ScNi4Au | PBE-GGA | optimized geometry

Unit cell a=6.834 b=6.834 c=6.834 alpha=90.00 beta=90.00 gamma=90.00
Space group F-43m (No. 216)
Symmetry-distinct sites (fractional):
1 Sc 0.000 0.000 0.000
2 Ni 0.125 0.125 0.375
3 Au 0.250 0.250 0.750

Properties
- total DFT energy (no corrections) (eV/f.u.) = -35.11
- calculated density (g/cm³) = 9.9
- energy of formation (eV per atom) = -0.396

Sc2NiAu | PBE-GGA | optimized geometry

Unit cell a=3.629 b=3.629 c=5.822 alpha=90.00 beta=90.00 gamma=90.00
Space group P4mm (No. 99)
Symmetry-distinct sites (fractional):
1 Sc 0.000 0.000 0.000
2 Sc 0.500 0.500 0.357
3 Ni 0.500 0.500 0.880
4 Au 0.000 0.000 0.532

Properties
- total DFT energy (no corrections) (eV/f.u.) = -23.57
- calculated density (g/cm³) = 7.5
- energy of formation (eV per atom) = -0.462